The following is a DFT calculation (PBE) of a relaxed structure of Co2PtAu.

Unit cell a=4.3103 b=4.3103 c=4.3103 alpha=60.00 beta=60.00 gamma=60.00
Last column: nearest neighbours and their distance in Å.
Fractional positions:
Co 0.7500 0.7500 0.7500  4 Au 2.64, 4 Pt 2.64
Co 0.2500 0.2500 0.2500  4 Au 2.64, 4 Pt 2.64
Pt 0.0000 0.0000 0.0000  8 Co 2.64
Au 0.5000 0.5000 0.5000  8 Co 2.64

Calculated values
The calculation puts the formation energy at 0.214 eV/atom. The excess energy over the best structure of this formula in the dataset comes out at 151 meV per atom.